[1]
Entry from Alexandria: an optimized crystal structure of AgSnOs3 (GGA-PBEsol).

Cell: 4.779 4.779 4.779 Å, 90.00 90.00 90.00°
Space group Pm-3m (No. 221)
Asymmetric unit:
Ag 0.000 0.000 0.000 (multiplicity 1)
Sn 0.500 0.500 0.500 (multiplicity 1)
Os 0.000 0.500 0.500 (multiplicity 3)

Values from the calculation:
- size of the total moment (Bohr magnetons per cell) = 2.9
- energy of formation (eV/atom) = 2.871

***

[2]
Entry from Alexandria: an optimized crystal structure of NbCr3Hg (GGA-PBEsol).

Cell: 4.836 4.836 4.836 Å, 90.00 90.00 90.00°
Space group Pm-3m (No. 221)
Asymmetric unit:
Nb 0.000 0.000 0.000 (multiplicity 1)
Cr 0.000 0.500 0.500 (multiplicity 3)
Hg 0.500 0.500 0.500 (multiplicity 1)

Values from the calculation:
- size of the total moment (Bohr magnetons per cell) = 9.1
- energy of formation (eV/atom) = 2.079

***

[3]
Entry from Alexandria: an optimized crystal structure of LaMnTc (GGA-PBEsol).

Cell: 6.109 6.109 6.109 Å, 90.00 90.00 90.00°
Space group F-43m (No. 216)
Asymmetric unit:
La 0.000 0.000 0.000 (multiplicity 4)
Mn 0.250 0.250 0.750 (multiplicity 4)
Tc 0.000 0.000 0.500 (multiplicity 4)

Values from the calculation:
- excess energy over the best structure of this formula in the dataset (eV/f.u.) = 0.00
- size of the total moment (Bohr magnetons per cell) = 0.0
- energy of formation (eV/atom) = 0.780

***

[4]
Entry from Alexandria: an optimized crystal structure of Ba4P3HF24 (GGA-PBEsol).

Cell: 4.713 9.043 11.566 Å, 67.84 85.64 78.73°
Space group P-1 (No. 2)
Asymmetric unit:
Ba 0.106 0.061 0.251 (multiplicity 2)
Ba 0.243 0.303 0.794 (multiplicity 2)
P 0.343 0.280 0.438 (multiplicity 2)
P 0.500 0.500 0.000 (multiplicity 1)
H 0.000 0.000 0.000 (multiplicity 1)
F 0.070 0.364 0.341 (multiplicity 2)
F 0.093 0.101 0.013 (multiplicity 2)
F 0.160 0.340 0.541 (multiplicity 2)
F 0.209 0.113 0.492 (multiplicity 2)
F 0.219 0.785 0.232 (multiplicity 2)
F 0.243 0.589 0.897 (multiplicity 2)
F 0.297 0.553 0.103 (multiplicity 2)
F 0.354 0.024 0.778 (multiplicity 2)
F 0.373 0.332 0.043 (multiplicity 2)
F 0.387 0.806 0.467 (multiplicity 2)
F 0.470 0.447 0.381 (multiplicity 2)
F 0.478 0.783 0.667 (multiplicity 2)

Values from the calculation:
- size of the total moment (Bohr magnetons per cell) = 0.2
- calculated total energy (eV/atom) = -5.464

***

[5]
Entry from Alexandria: an optimized crystal structure of CrNiTeI2 (GGA-PBEsol).

Cell: 5.148 5.148 5.052 Å, 90.00 90.00 90.00°
Space group P4/mmm (No. 123)
Asymmetric unit:
Cr 0.000 0.000 0.000 (multiplicity 1)
Ni 0.500 0.500 0.500 (multiplicity 1)
Te 0.500 0.500 0.000 (multiplicity 1)
I 0.000 0.500 0.500 (multiplicity 2)

Values from the calculation:
- size of the total moment (Bohr magnetons per cell) = 4.3
- formation energy (no corrections) (eV per formula unit) = 2.88

***

[6]
Entry from Alexandria: an optimized crystal structure of Rb2CuBr3 (GGA-PBEsol).

Cell: 12.998 4.322 13.463 Å, 90.00 90.00 90.00°
Space group Pnma (No. 62)
Asymmetric unit:
Rb 0.013 0.250 0.175 (multiplicity 4)
Rb 0.174 0.250 0.524 (multiplicity 4)
Cu 0.244 0.750 0.310 (multiplicity 4)
Br 0.064 0.750 0.362 (multiplicity 4)
Br 0.138 0.250 0.949 (multiplicity 4)
Br 0.227 0.750 0.722 (multiplicity 4)

Values from the calculation:
- size of the total moment (Bohr magnetons per cell) = 0.0
- formation energy (no corrections) (eV per formula unit) = -7.42

***

| no. | density of states at the Fermi level (states/eV per cell) |
| --- | --- |
| 1 | 7.0 |
| 2 | 5.7 |
| 3 | 14.7 |
| 4 | 0.0 |
| 5 | 5.3 |
| 6 | 0.0 |